No. 1
Density functional theory data (PBE) for a relaxed structure of PC2.

```
PC2
1.0
2.0432 -2.8204 0.0000
2.0432 2.8204 0.0000
0.0000 0.0000 7.5565
P C
2 4
direct
0.5256 0.4744 0.7500
0.4744 0.5256 0.2500
0.6573 0.0042 0.7500
0.3427 0.9958 0.2500
0.9958 0.3427 0.7500
0.0042 0.6573 0.2500
```

Values from the calculation:
DOS at the Fermi energy: 2.5 states/eV per cell
polymorph energy (0 for the lowest one): 1.045 eV/atom
total energy: -6.68 eV per atom

***

No. 2
Density functional theory data (PBE) for a relaxed structure of PC2.

```
PC2
1.0
3.0439 0.0000 0.0000
0.0000 4.1602 0.0000
-1.4915 0.0000 4.1685
P C
1 2
direct
0.2964 0.0000 0.1784
0.4049 0.3499 0.4000
0.4049 0.6501 0.4000
```

Values from the calculation:
DOS at the Fermi energy: 0.6 states/eV per cell
polymorph energy (0 for the lowest one): 0.847 eV/atom
total energy: -6.88 eV per atom

***

No. 3
Density functional theory data (PBE) for a relaxed structure of PC3.

```
PC3
1.0
-3.5618 0.8050 2.1101
-1.0336 -5.4441 0.3322
3.1594 -0.2681 5.4353
P C
4 12
direct
0.4670 0.7672 0.7500
0.9670 0.7328 0.2500
0.0330 0.2672 0.7500
0.5330 0.2328 0.2500
0.0778 0.9344 0.7500
0.5778 0.5656 0.2500
0.4222 0.4344 0.7500
0.9222 0.0656 0.2500
0.6562 0.2946 0.8767
0.1562 0.2054 0.1233
0.8438 0.7946 0.6233
0.3438 0.7054 0.3767
0.3438 0.7054 0.1233
0.8438 0.7946 0.8767
0.1562 0.2054 0.3767
0.6562 0.2946 0.6233
```

Values from the calculation:
DOS at the Fermi energy: 2.5 states/eV per cell
polymorph energy (0 for the lowest one): 1.030 eV/atom
total energy: -6.60 eV per atom

***

No. 4
Density functional theory data (PBE) for a relaxed structure of PC2.

```
PC2
1.0
1.2969 -12.0664 0.0000
1.2969 12.0664 0.0000
0.0000 0.0000 3.1228
P C
2 4
direct
0.2756 0.7244 0.7500
0.7244 0.2756 0.2500
0.5559 0.4441 0.7500
0.0559 0.9441 0.7500
0.9441 0.0559 0.2500
0.4441 0.5559 0.2500
```

Values from the calculation:
DOS at the Fermi energy: 2.3 states/eV per cell
polymorph energy (0 for the lowest one): 0.690 eV/atom
total energy: -7.03 eV per atom

***

No. 5
Density functional theory data (PBE) for a relaxed structure of PC3.

```
PC3
1.0
-0.5452 -1.8186 2.3959
2.4510 1.1428 1.4252
-2.2724 2.8349 1.6348
P C
1 3
direct
0.5000 0.5000 0.7500
0.0000 0.0000 0.0825
0.5000 0.5000 0.2500
0.0000 0.0000 0.4175
```

Values from the calculation:
DOS at the Fermi energy: 1.9 states/eV per cell
polymorph energy (0 for the lowest one): 2.155 eV/atom
total energy: -5.47 eV per atom

***

No. 6
Density functional theory data (PBE) for a relaxed structure of PC3.

```
PC3
1.0
5.2314 0.0104 0.0305
2.9159 4.3434 -0.0305
-3.5232 -3.2070 2.1612
P C
1 3
direct
0.5000 0.0000 0.5000
0.1004 0.1004 0.0000
0.8996 0.8996 0.0000
0.0000 0.5000 0.5000
```

Values from the calculation:
DOS at the Fermi energy: 1.1 states/eV per cell
polymorph energy (0 for the lowest one): 1.683 eV/atom
total energy: -5.94 eV per atom

***

The records above give, respectively, energy of formation values of 1.275; 1.077; 1.673; 0.919; 2.798; 2.326 eV/atom.